Density functional theory data (GGA-PBE) for a relaxed TaTi2H6 crystal.

Calculated values
The calculation puts the calculated volume at 65.8 Å³/cell. The calculation puts the raw total energy at -5.70 eV/atom.

Unit cell a=5.4208 b=5.4208 c=3.1852 alpha=106.75 beta=106.75 gamma=47.82
Sites, in units of the cell vectors:
Ta 0.0000 0.0000 0.0000
Ti 0.3334 0.3334 0.3331
Ti 0.6666 0.6666 0.6669
H 0.0859 0.5782 0.8320
H 0.2529 0.7471 0.5000
H 0.4218 0.9141 0.1680
H 0.5782 0.0859 0.8320
H 0.7471 0.2529 0.5000
H 0.9141 0.4218 0.1680